Entry 1:
FePC2 | PBE | optimized geometry

Cell lengths 7.1039, 2.8490, 4.9181 Å; angles 90.00, 127.81, 90.00 degrees
Closest atoms and distances in Å follow each position.
Space group Cm (No. 8)
Symmetry-distinct sites (fractional):
1 Fe 0.0000 0.0000 0.0000 [2 per cell]  3 C 1.93-2.05, 1 P 2.12
2 P 0.4629 0.5000 0.5387 [2 per cell]  3 C 1.79-1.83
3 C 0.2826 0.0000 0.8989 [2 per cell]  1 C 1.50
4 C 0.3613 0.0000 0.2594 [2 per cell]  1 C 1.50

Properties
Total moment, μB per atom: 0.00
Formation enthalpy at 0 K, eV per atom: 0.609


Entry 2:
Be2GeH | PBE | optimized geometry

Cell lengths 6.5476, 5.4779, 2.7789 Å; angles 90.00, 114.71, 90.00 degrees
Closest atoms and distances in Å follow each position.
Space group Cm (No. 8)
Symmetry-distinct sites (fractional):
1 Be 0.0000 0.1885 0.0000 [4 per cell]  1 H 1.42
2 Ge 0.1414 0.5000 0.6396 [2 per cell]  6 Be 2.36-2.37
3 H 0.1647 0.0000 0.1635 [2 per cell]  2 Be 1.42

Properties
Energy above the lowest structure with this stoichiometry, meV per atom: 0
Total moment, μB per atom: 0.00


Entry 3:
ScAl3Se | PBE | optimized geometry

Cell lengths 5.3611, 5.3611, 5.3611 Å; angles 90.00, 90.00, 90.00 degrees
Closest atoms and distances in Å follow each position.
Space group Pm-3m (No. 221)
Symmetry-distinct sites (fractional):
1 Sc 0.0000 0.0000 0.0000 [1 per cell]  6 Al 2.68
2 Al 0.0000 0.0000 0.5000 [3 per cell]  2 Sc 2.68
3 Se 0.5000 0.5000 0.5000 [1 per cell]  12 Al 3.79

Properties
Energy above the lowest structure with this stoichiometry, meV per atom: 496
Total moment, μB per atom: 0.32
ΔE_f (raw), eV per formula unit: 4.88


Sequential raw total energy output: -7.47 -3.64 -3.23 eV/atom